(1)
A plane-wave DFT calculation with PBE was carried out for a relaxed TbYOs crystal.

```
TbYOs
1.0
3.412 0.005 -0.002
-0.017 6.803 0.052
-1.707 -1.752 6.611
Y Os Tb
2 2 2
direct
0.313 0.490 0.394
0.565 0.614 0.895
0.939 0.300 0.644
0.939 0.803 0.645
0.565 0.115 0.895
0.313 0.989 0.393
```

Calculated values
The energy of formation comes out at -205 meV/atom. The uncorrected energy is -7.646 eV per atom. The calculation puts the density of states at the Fermi level at 2.9 states/eV/cell. As for the distance to the lowest polymorph of the same formula: 1.3 meV per atom.

(2)
A plane-wave DFT calculation with PBE was carried out for a relaxed MgCdPb2 crystal.

```
MgCdPb2
1.0
3.474 0.000 0.000
0.000 4.467 0.000
0.000 0.000 6.977
Mg Pb Cd
1 2 1
direct
0.500 0.500 0.750
0.000 0.000 0.997
0.000 0.000 0.503
0.500 0.500 0.250
```

Calculated values
The energy of formation comes out at 8 meV/atom. The uncorrected energy is -2.474 eV per atom. The calculation puts the density of states at the Fermi level at 1.9 states/eV/cell. As for the distance to the lowest polymorph of the same formula: 33.9 meV per atom.

(3)
A plane-wave DFT calculation with PBE was carried out for a relaxed KLa2Si crystal.

```
KLa2Si
1.0
3.895 0.000 0.000
0.000 3.868 -0.016
0.000 3.656 10.354
Si La K
1 2 1
direct
0.500 0.250 0.250
0.000 0.917 0.105
0.000 0.583 0.395
0.500 0.750 0.750
```

Calculated values
The raw formation energy is -0.155 eV/atom. The uncorrected energy is -4.249 eV per atom. The calculation puts the density of states at the Fermi level at 5.0 states/eV/cell.

(4)
A plane-wave DFT calculation with PBE was carried out for a relaxed CaY3Cd2 crystal.

```
CaY3Cd2
1.0
5.271 0.000 0.000
0.000 6.956 0.000
0.000 0.000 9.560
Cd Y Ca
4 6 2
direct
0.000 0.276 0.652
0.500 0.225 0.146
0.000 0.776 0.348
0.500 0.725 0.854
0.000 0.479 0.954
0.000 0.979 0.046
0.500 0.672 0.176
0.000 0.326 0.321
0.500 0.172 0.824
0.000 0.826 0.679
0.500 0.023 0.454
0.500 0.523 0.546
```

Calculated values
The energy of formation comes out at -221 meV/atom. The uncorrected energy is -4.092 eV per atom. The calculation puts the density of states at the Fermi level at 14.5 states/eV/cell.

(5)
A plane-wave DFT calculation with PBE was carried out for a relaxed TlNiBr2 crystal.

```
TlNiBr2
1.0
7.387 0.001 0.000
5.005 5.432 0.000
-6.196 -2.717 2.965
Br Tl Ni
2 1 1
direct
0.000 0.000 0.000
0.250 0.750 0.500
0.750 0.250 0.500
0.500 0.500 0.000
```

Calculated values
The raw formation energy is 0.151 eV/atom. The uncorrected energy is -2.722 eV per atom. The calculation puts the density of states at the Fermi level at 6.6 states/eV/cell. As for the distance to the lowest polymorph of the same formula: 505.0 meV per atom.

(6)
A plane-wave DFT calculation with PBE was carried out for a relaxed SrZr4Rh crystal.

```
SrZr4Rh
1.0
0.000 4.161 4.161
4.161 0.000 4.161
4.161 4.161 0.000
Zr Rh Sr
4 1 1
direct
0.871 0.376 0.376
0.376 0.376 0.376
0.376 0.376 0.871
0.376 0.871 0.376
0.750 0.750 0.750
0.000 0.000 0.000
```

Calculated values
The energy of formation comes out at 488 meV/atom. The uncorrected energy is -6.717 eV per atom. The calculation puts the density of states at the Fermi level at 9.7 states/eV/cell.

(7)
A plane-wave DFT calculation with PBE was carried out for a relaxed La2BIr2 crystal.

```
La2BIr2
1.0
7.755 0.000 0.000
0.000 7.755 0.000
0.000 0.000 3.922
La Ir B
4 4 2
direct
0.183 0.317 0.000
0.817 0.683 0.000
0.683 0.183 0.000
0.317 0.817 0.000
0.117 0.617 0.500
0.883 0.383 0.500
0.617 0.883 0.500
0.383 0.117 0.500
0.000 0.000 0.000
0.500 0.500 0.000
```

Calculated values
The energy of formation comes out at 418 meV/atom. The uncorrected energy is -6.433 eV per atom. The calculation puts the density of states at the Fermi level at 16.1 states/eV/cell. As for the distance to the lowest polymorph of the same formula: 321.6 meV per atom.

(8)
A plane-wave DFT calculation with PBE was carried out for a relaxed K8Au3Br4 crystal.

```
K8Au3Br4
1.0
8.298 -0.184 -4.552
-5.359 7.873 -0.231
-0.178 0.185 9.523
K Au Br
8 3 4
direct
0.507 0.755 0.755
0.500 0.751 0.249
0.997 0.245 0.245
0.000 0.247 0.753
0.000 0.753 0.247
0.493 0.245 0.245
0.500 0.249 0.751
0.003 0.755 0.755
0.500 0.500 0.000
0.500 0.000 0.500
0.500 0.500 0.500
0.000 0.000 0.500
0.000 0.000 0.000
0.500 0.000 0.000
0.000 0.500 0.000
```

Calculated values
The raw formation energy is -1.017 eV/atom. The uncorrected energy is -2.704 eV per atom. The calculation puts the density of states at the Fermi level at 2.5 states/eV/cell.

(9)
A plane-wave DFT calculation with PBE was carried out for a relaxed RbSc2BeCd crystal.

```
RbSc2BeCd
1.0
5.585 0.000 0.000
0.000 4.718 0.000
0.000 0.000 5.585
Rb Be Sc Cd
1 1 2 1
direct
0.500 0.500 0.500
0.000 0.500 0.000
0.500 0.000 0.000
0.000 0.000 0.500
0.000 0.000 0.000
```

Calculated values
The energy of formation comes out at 796 meV/atom. The uncorrected energy is -2.858 eV per atom. The calculation puts the density of states at the Fermi level at 5.9 states/eV/cell.

> Look up the uncorrected energy of the sixth one.

-6.717 eV per atom

> What is the formula in the sixth record?

SrZr4Rh

Copy entry 9 word for word.
A plane-wave DFT calculation with PBE was carried out for a relaxed RbSc2BeCd crystal.

```
RbSc2BeCd
1.0
5.585 0.000 0.000
0.000 4.718 0.000
0.000 0.000 5.585
Rb Be Sc Cd
1 1 2 1
direct
0.500 0.500 0.500
0.000 0.500 0.000
0.500 0.000 0.000
0.000 0.000 0.500
0.000 0.000 0.000
```

Calculated values
The energy of formation comes out at 796 meV/atom. The uncorrected energy is -2.858 eV per atom. The calculation puts the density of states at the Fermi level at 5.9 states/eV/cell.

> Which value of uncorrected energy does entry 9 give?

-2.858 eV per atom